Record 1
## Li2Nb (PBE)

Data for a geometry-optimized Li2Nb structure.

Cell: 4.9755 4.9755 4.9755 Å, 60.00 60.00 60.00°
Last column: nearest neighbours and their distance in Å.
Positions (direct):
Li  0.6250  0.6250  0.1250  6 Li 2.49
Li  0.6250  0.1250  0.6250  6 Li 2.49
Li  0.1250  0.6250  0.6250  6 Li 2.49
Li  0.6250  0.6250  0.6250  6 Li 2.49
Nb  0.0000  0.0000  0.0000  12 Li 2.92, 4 Nb 3.05
Nb  0.2500  0.2500  0.2500  12 Li 2.92, 4 Nb 3.05

Results
DFT total energy   -4.1194 eV/atom
Space-group type   No. 227
Total magnetic moment   0.10 μB per atom
E above lowest polymorph   36 meV per atom

=====

Record 2
## BaNbNiAu (PBE)

Data for a geometry-optimized BaNbNiAu structure.

Cell: 4.8808 4.8808 4.8808 Å, 60.00 60.00 60.00°
Last column: nearest neighbours and their distance in Å.
Positions (direct):
Au  0.7500  0.7500  0.7500  4 Ba 2.99, 4 Ni 2.99
Ba  0.0000  0.0000  0.0000  4 Au 2.99, 4 Nb 2.99
Nb  0.2500  0.2500  0.2500  4 Ni 2.99, 4 Ba 2.99
Ni  0.5000  0.5000  0.5000  4 Nb 2.99, 4 Au 2.99

Results
DFT total energy   -4.5101 eV/atom
Space-group type   No. 216
Total magnetic moment   0.00 μB per atom
E above lowest polymorph   132 meV per atom

=====

Record 3
## ZrI2Cl (PBE)

Data for a geometry-optimized ZrI2Cl structure.

Cell: 7.5978 7.5978 6.3873 Å, 90.00 90.00 56.64°
Last column: nearest neighbours and their distance in Å.
Positions (direct):
Cl  0.7214  0.2786  0.2500  2 Zr 2.57
Cl  0.2786  0.7214  0.7500  2 Zr 2.57
I  0.0214  0.6656  0.2500  2 Zr 2.93
I  0.3344  0.9786  0.2500  2 Zr 2.93
I  0.6656  0.0214  0.7500  2 Zr 2.93
I  0.9786  0.3344  0.7500  2 Zr 2.93
Zr  0.0000  0.0000  0.0000  2 Cl 2.57
Zr  0.0000  0.0000  0.5000  2 Cl 2.57

Results
DFT total energy   -4.5781 eV/atom
Space-group type   No. 63
Total magnetic moment   0.00 μB per atom
E above lowest polymorph   0 meV per atom

=====

Record 4
## DySnTe3Au (PBE)

Data for a geometry-optimized DySnTe3Au structure.

Cell: 10.1495 10.1495 8.7750 Å, 100.83 100.83 24.23°
Last column: nearest neighbours and their distance in Å.
Positions (direct):
Au  0.4462  0.4462  0.2856  4 Te 2.73-2.91
Au  0.5538  0.5538  0.7144  4 Te 2.73-2.91
Dy  0.8401  0.8401  0.4083  6 Te 3.08-3.16, 2 Au 3.32
Dy  0.1599  0.1599  0.5917  6 Te 3.08-3.16, 2 Au 3.32
Sn  0.1225  0.1225  0.0748  6 Te 3.20-3.33
Sn  0.8775  0.8775  0.9252  6 Te 3.20-3.33
Te  0.5000  0.5000  0.0000  2 Au 2.91, 4 Sn 3.20
Te  0.3108  0.3108  0.1472  1 Au 2.73
Te  0.6778  0.6778  0.3490  3 Dy 3.08-3.16, 2 Sn 3.24
Te  0.0000  0.0000  0.5000  4 Au 2.91, 2 Dy 3.12
Te  0.3222  0.3222  0.6510  3 Dy 3.08-3.16, 2 Sn 3.24
Te  0.6892  0.6892  0.8528  1 Au 2.73

Results
DFT total energy   -4.1775 eV/atom
Space-group type   No. 12
Total magnetic moment   0.00 μB per atom
E above lowest polymorph   30 meV per atom

=====

Record 5
## CuGeW2 (PBE)

Data for a geometry-optimized CuGeW2 structure.

Cell: 4.3967 4.3967 4.3967 Å, 60.00 60.00 60.00°
Last column: nearest neighbours and their distance in Å.
Positions (direct):
Cu  0.2500  0.2500  0.2500  4 Ge 2.69, 4 W 2.69
Ge  0.5000  0.5000  0.5000  4 W 2.69, 4 Cu 2.69
W  0.0000  0.0000  0.0000  4 W 2.69, 4 Cu 2.69
W  0.7500  0.7500  0.7500  4 Ge 2.69, 4 W 2.69

Results
DFT total energy   -8.0988 eV/atom
Space-group type   No. 216
Total magnetic moment   0.00 μB per atom

=====

Record 6
## RbPmPd (PBE)

Data for a geometry-optimized RbPmPd structure.

Cell: 5.1979 5.1979 5.1979 Å, 60.00 60.00 60.00°
Last column: nearest neighbours and their distance in Å.
Positions (direct):
Pd  0.0000  0.0000  0.0000  4 Pm 3.18, 4 Rb 3.18
Pm  0.2500  0.2500  0.2500  4 Pd 3.18
Rb  0.7500  0.7500  0.7500  4 Pd 3.18

Results
DFT total energy   -3.4621 eV/atom
Space-group type   No. 216
Total magnetic moment   0.00 μB per atom
E above lowest polymorph   0 meV per atom

=====

Question: Among the records above, which one has the highest total magnetic moment?
Answer: Li2Nb

=====

Question: Which value of total magnetic moment does entry 2 give?
Answer: 0.00 μB per atom

=====

Question: What is the DFT total energy in the fourth record?
Answer: -4.1775 eV/atom

=====

Question: DFT total energy of number 2 (BaNbNiAu)?
Answer: -4.5101 eV/atom